# 1
4
Lattice="-2.732 5.861 7.035 -5.335 5.005 6.147 -3.865 3.412 8.045" Properties=species:S:1:pos:R:3 comment="InIrW2 (PBE, optimized geometry)" ef_ev_per_atom=0.279 vol_a3_per_fu=67.62 e_tot_ev_per_atom=-9.0974 total_magnetization_mub_per_fu=0.0 n_ef_per_ev_fu=2.1 pbc="T T T"
In -5.935 7.102 10.559
Ir -8.893 10.642 15.822
W -0.052 0.062 0.092
W -3.017 3.610 5.367



# 2
10
Lattice="6.891 -0.601 1.290 -0.260 6.672 -0.918 4.193 2.108 5.243" Properties=species:S:1:pos:R:3 comment="Ac2AlPt6Au (PBE, optimized geometry)" ef_ev_per_atom=-0.865 vol_a3_per_fu=219.11 e_tot_ev_per_atom=-6.0134 total_magnetization_mub_per_fu=0.0 n_ef_per_ev_fu=4.1 pbc="T T T"
Ac 3.869 5.788 2.507
Ac 6.954 2.392 3.108
Al 3.315 3.036 0.186
Pt 1.594 4.790 -0.262
Pt 8.442 7.371 4.548
Pt 3.673 2.647 2.627
Pt 9.229 3.390 5.877
Pt 2.381 0.809 1.067
Pt 7.150 5.533 2.988
Au 0.000 0.000 0.000



# 3
4
Lattice="2.926 -0.003 0.000 -1.040 2.735 0.000 0.000 0.000 8.961" Properties=species:S:1:pos:R:3 comment="MnPbW2 (PBE, optimized geometry)" ef_ev_per_atom=0.606 vol_a3_per_fu=71.67 e_tot_ev_per_atom=-9.0900 total_magnetization_mub_per_fu=2.9 n_ef_per_ev_fu=2.1 pbc="T T T"
Mn 0.000 0.000 4.254
Pb 0.943 1.366 6.663
W 0.000 0.000 0.223
W 0.943 1.366 2.301



# 4
5
Lattice="-4.411 3.286 0.851 -2.656 -2.688 -3.385 -1.741 -3.389 4.057" Properties=species:S:1:pos:R:3 comment="GeBi2HSe (PBE, optimized geometry)" vol_a3_per_fu=157.15 e_tot_ev_per_atom=-2.9071 total_magnetization_mub_per_fu=0.5 n_ef_per_ev_fu=3.9 pbc="T T T"
H -4.404 -1.395 0.762
Ge 0.000 0.000 0.000
Bi -0.871 -1.694 2.029
Bi -2.205 1.643 0.426
Se -1.328 -1.344 -1.692



# 5
4
Lattice="3.711 0.000 0.000 1.856 3.214 0.000 1.856 1.071 11.262" Properties=species:S:1:pos:R:3 comment="Ac2ErCo (PBE, optimized geometry)" ef_ev_per_atom=0.663 vol_a3_per_fu=134.33 e_tot_ev_per_atom=-4.3083 total_magnetization_mub_per_fu=1.1 n_ef_per_ev_fu=6.2 pbc="T T T"
Ac 1.856 1.071 8.664
Ac 5.567 3.214 2.598
Co 0.000 0.000 0.000
Er 3.711 2.143 5.631



# 6
5
Lattice="6.802 0.000 0.000 0.000 5.246 0.000 0.000 0.000 6.802" Properties=species:S:1:pos:R:3 comment="Cs2LaWC (PBE, optimized geometry)" ef_ev_per_atom=2.240 vol_a3_per_fu=242.70 e_tot_ev_per_atom=-3.5224 total_magnetization_mub_per_fu=4.5 n_ef_per_ev_fu=4.9 pbc="T T T"
Cs 0.000 0.000 3.401
Cs 3.401 0.000 0.000
C 3.401 2.623 3.401
W 0.000 0.000 0.000
La 0.000 2.623 0.000



# 7
16
Lattice="9.360 -0.019 -1.767 -0.026 9.360 -1.767 -5.932 -5.936 8.363" Properties=species:S:1:pos:R:3 comment="TbPr2DyHo4 (PBE, optimized geometry)" ef_ev_per_atom=0.421 vol_a3_per_fu=267.96 e_tot_ev_per_atom=-4.2170 total_magnetization_mub_per_fu=2.2 n_ef_per_ev_fu=18.7 pbc="T T T"
Tb -0.013 4.680 -0.883
Tb 6.381 1.693 1.531
Pr 4.680 -0.009 -0.883
Pr 1.714 -2.978 3.298
Pr -2.966 -2.968 4.182
Pr 4.667 4.670 -1.767
Dy 1.701 1.702 2.415
Dy 3.428 -5.955 6.597
Ho -3.655 1.111 6.591
Ho 4.015 -0.598 2.420
Ho -0.613 4.003 2.410
Ho 7.058 2.294 -1.762
Ho 1.104 1.078 5.676
Ho 4.025 4.002 1.568
Ho -0.623 -0.597 3.262
Ho 2.298 2.326 -0.847



# 8
4
Lattice="5.104 0.000 0.000 2.552 4.420 0.000 2.552 1.473 4.167" Properties=species:S:1:pos:R:3 comment="ErMgZrHg (PBE, optimized geometry)" ef_ev_per_atom=-0.090 vol_a3_per_fu=94.01 e_tot_ev_per_atom=-3.8423 total_magnetization_mub_per_fu=0.3 n_ef_per_ev_fu=5.0 pbc="T T T"
Mg 0.000 0.000 0.000
Hg 5.104 2.947 2.084
Zr 2.552 1.473 1.042
Er 7.656 4.420 3.125